Entry 1:
Compound: PaPdAu
Source: Alexandria via LeMat-Bulk
Functional: PBE-GGA
Structure: optimized geometry

Lattice parameters (Å, degrees): 6.3015 6.3015 7.5001 124.78 124.78 31.63
Element x y z (fractional)
Pa: 0.1418 0.1418 0.0814
Pa: 0.8582 0.8582 0.9186
Pd: 0.4191 0.4191 0.2644
Pd: 0.5809 0.5809 0.7356
Au: 0.1519 0.1519 0.4986
Au: 0.8481 0.8481 0.5014

Properties
Volume ... 126 Å³/cell
E above lowest polymorph ... 313 meV/atom
Energy of formation from the pure elements ... -0.2180 eV per atom

=====

Entry 2:
Compound: PaPd3Au3
Source: Alexandria via LeMat-Bulk
Functional: PBE-GGA
Structure: optimized geometry

Lattice parameters (Å, degrees): 7.6982 7.6982 5.0665 90.00 90.00 120.00
Element x y z (fractional)
Pa: 0.3333 0.6667 0.2500
Pa: 0.6667 0.3333 0.7500
Pd: 0.0575 0.2539 0.2500
Pd: 0.1964 0.9425 0.2500
Pd: 0.2539 0.1964 0.7500
Pd: 0.7461 0.8036 0.2500
Pd: 0.8036 0.0575 0.7500
Pd: 0.9425 0.7461 0.7500
Au: 0.1016 0.4600 0.7500
Au: 0.3584 0.8984 0.7500
Au: 0.4600 0.3584 0.2500
Au: 0.5400 0.6416 0.7500
Au: 0.6416 0.1016 0.2500
Au: 0.8984 0.5400 0.2500

Properties
Volume ... 260 Å³/cell
E above lowest polymorph ... 32 meV/atom
Energy of formation from the pure elements ... -0.3472 eV per atom

=====

Entry 3:
Compound: PaPd2Au3
Source: Alexandria via LeMat-Bulk
Functional: PBE-GGA
Structure: optimized geometry

Lattice parameters (Å, degrees): 5.0614 5.0614 10.1251 109.15 109.15 71.65
Element x y z (fractional)
Pa: 0.1254 0.8746 0.7500
Pa: 0.8746 0.1254 0.2500
Pd: 0.2060 0.4559 0.9116
Pd: 0.4559 0.2060 0.4116
Pd: 0.5441 0.7940 0.5884
Pd: 0.7940 0.5441 0.0884
Au: 0.0399 0.2897 0.5795
Au: 0.2897 0.0399 0.0795
Au: 0.3746 0.6254 0.2500
Au: 0.6254 0.3746 0.7500
Au: 0.7103 0.9601 0.9205
Au: 0.9601 0.7103 0.4205

Properties
Volume ... 225 Å³/cell
E above lowest polymorph ... 26 meV/atom
Energy of formation from the pure elements ... -0.3599 eV per atom

=====

Entry 4:
Compound: PaPd4Au
Source: Alexandria via LeMat-Bulk
Functional: PBE-GGA
Structure: optimized geometry

Lattice parameters (Å, degrees): 5.3189 5.3189 5.3189 60.00 60.00 60.00
Element x y z (fractional)
Pa: 0.0000 0.0000 0.0000
Pd: 0.1259 0.6247 0.6247
Pd: 0.6247 0.1259 0.6247
Pd: 0.6247 0.6247 0.1259
Pd: 0.6247 0.6247 0.6247
Au: 0.2500 0.2500 0.2500

Properties
Volume ... 106 Å³/cell
E above lowest polymorph ... 0 meV/atom
Energy of formation from the pure elements ... -0.5684 eV per atom

=====

Entry 5:
Compound: Pa2Pd15Au2
Source: Alexandria via LeMat-Bulk
Functional: PBE-GGA
Structure: optimized geometry

Lattice parameters (Å, degrees): 7.0571 7.0571 7.0571 82.12 82.12 82.12
Element x y z (fractional)
Pa: 0.1376 0.1376 0.1376
Pa: 0.8624 0.8624 0.8624
Pd: 0.0000 0.0000 0.5000
Pd: 0.0000 0.3049 0.6951
Pd: 0.0000 0.5000 0.0000
Pd: 0.0000 0.6951 0.3049
Pd: 0.1582 0.6537 0.6537
Pd: 0.3049 0.0000 0.6951
Pd: 0.3049 0.6951 0.0000
Pd: 0.3463 0.3463 0.8418
Pd: 0.3463 0.8418 0.3463
Pd: 0.5000 0.0000 0.0000
Pd: 0.6537 0.1582 0.6537
Pd: 0.6537 0.6537 0.1582
Pd: 0.6951 0.0000 0.3049
Pd: 0.6951 0.3049 0.0000
Pd: 0.8418 0.3463 0.3463
Au: 0.3669 0.3669 0.3669
Au: 0.6331 0.6331 0.6331

Properties
Volume ... 342 Å³/cell
Energy of formation from the pure elements ... -0.1798 eV per atom

=====

Entry 6:
Compound: Pa4Pd12Au
Source: Alexandria via LeMat-Bulk
Functional: PBE-GGA
Structure: optimized geometry

Lattice parameters (Å, degrees): 7.8557 7.8557 7.8557 109.47 109.47 109.47
Element x y z (fractional)
Pa: 0.0000 0.0000 0.5000
Pa: 0.0000 0.5000 0.0000
Pa: 0.5000 0.0000 0.0000
Pa: 0.5000 0.5000 0.5000
Pd: 0.1431 0.5001 0.3571
Pd: 0.1431 0.7860 0.6429
Pd: 0.2140 0.3571 0.8569
Pd: 0.3571 0.1431 0.5001
Pd: 0.3571 0.8569 0.2140
Pd: 0.5001 0.3571 0.1431
Pd: 0.4999 0.6429 0.8569
Pd: 0.6429 0.1431 0.7860
Pd: 0.6429 0.8569 0.4999
Pd: 0.7860 0.6429 0.1431
Pd: 0.8569 0.2140 0.3571
Pd: 0.8569 0.4999 0.6429
Au: 0.0000 0.0000 0.0000

Properties
Volume ... 373 Å³/cell
Energy of formation from the pure elements ... -0.0586 eV per atom

=====

Entry 7:
Compound: PaPd5Au
Source: Alexandria via LeMat-Bulk
Functional: PBE-GGA
Structure: optimized geometry

Lattice parameters (Å, degrees): 6.9855 6.9855 5.5204 98.38 98.38 68.19
Element x y z (fractional)
Pa: 0.2357 0.7643 0.7500
Pa: 0.7643 0.2357 0.2500
Pd: 0.0918 0.2789 0.5126
Pd: 0.1359 0.8641 0.2500
Pd: 0.2789 0.0918 0.0126
Pd: 0.3467 0.4398 0.3481
Pd: 0.4398 0.3467 0.8481
Pd: 0.5602 0.6533 0.1519
Pd: 0.6533 0.5602 0.6519
Pd: 0.7211 0.9082 0.9874
Pd: 0.8641 0.1359 0.7500
Pd: 0.9082 0.7211 0.4874
Au: 0.0000 0.5000 0.0000
Au: 0.5000 0.0000 0.5000

Properties
Volume ... 246 Å³/cell
E above lowest polymorph ... 0 meV/atom
Energy of formation from the pure elements ... -0.4721 eV per atom

=====

Entry 8:
Compound: PaPd5Au
Source: Alexandria via LeMat-Bulk
Functional: PBE-GGA
Structure: optimized geometry

Lattice parameters (Å, degrees): 5.0968 5.0968 10.0561 101.29 101.29 99.15
Element x y z (fractional)
Pa: 0.2235 0.7765 0.7500
Pa: 0.7765 0.2235 0.2500
Pd: 0.0820 0.2798 0.5444
Pd: 0.1235 0.8765 0.2500
Pd: 0.2798 0.0820 0.0444
Pd: 0.3565 0.4425 0.3541
Pd: 0.4425 0.3565 0.8541
Pd: 0.5575 0.6435 0.1459
Pd: 0.6435 0.5575 0.6459
Pd: 0.7202 0.9180 0.9556
Pd: 0.8765 0.1235 0.7500
Pd: 0.9180 0.7202 0.4556
Au: 0.0000 0.5000 0.0000
Au: 0.5000 0.0000 0.5000

Properties
Volume ... 246 Å³/cell
E above lowest polymorph ... 10 meV/atom
Energy of formation from the pure elements ... -0.4620 eV per atom

=====

no.,electronic total energy (eV/atom)
1,-6.207
2,-5.334
3,-5.312
4,-6.159
5,-5.624
6,-6.151
7,-6.006
8,-5.996